# 1
Computed, not measured: NaTiGa after structural relaxation at the PBE level of DFT.

Geometry as POSCAR:
```
NaTiGa
1.0
-2.460 2.355 -2.892
-3.382 -3.923 -3.782
-3.952 0.128 3.466
Na Ga Ti
2 2 2
Direct
0.951 0.047 0.166
0.477 0.995 0.639
0.760 0.428 0.701
0.252 0.444 0.973
0.195 0.558 0.445
0.688 0.572 0.238
```

Offset from the most stable computed form ... 309.0 meV/atom
ρ ... 3.31 Mg/m³
Final energy ... -23.52 eV/cell
E_form ... 46 kJ/mol of formula units

# 2
Computed, not measured: NaTiGa after structural relaxation at the PBE level of DFT.

Geometry as POSCAR:
```
NaTiGa
1.0
4.082 -2.357 0.000
0.000 4.713 0.000
0.000 0.000 10.384
Na Ga Ti
2 2 2
Direct
0.333 0.667 0.250
0.667 0.333 0.750
0.000 0.000 0.250
0.000 0.000 0.750
0.000 0.000 0.000
0.000 0.000 0.500
```

Offset from the most stable computed form ... 1252.5 meV/atom
ρ ... 2.34 Mg/m³
Final energy ... -17.86 eV/cell
E_form ... 319 kJ/mol of formula units

# 3
Computed, not measured: NaTiGa after structural relaxation at the PBE level of DFT.

Geometry as POSCAR:
```
NaTiGa
1.0
-4.438 0.628 1.755
3.020 -3.080 2.137
0.998 2.186 1.741
Na Ga Ti
1 1 1
Direct
0.667 0.333 0.500
0.000 0.000 0.000
0.333 0.667 0.000
```

Offset from the most stable computed form ... 493.6 meV/atom
ρ ... 3.92 Mg/m³
Final energy ... -11.21 eV/cell
E_form ... 100 kJ/mol of formula units

# 4
Computed, not measured: NaTiGa after structural relaxation at the PBE level of DFT.

Geometry as POSCAR:
```
NaTiGa
1.0
-4.624 0.272 4.627
-2.364 -1.105 -1.362
1.231 -6.021 2.707
Na Ga Ti
2 2 2
Direct
0.490 0.992 0.953
0.636 0.927 0.373
0.855 0.314 0.687
0.003 0.745 0.001
0.229 0.628 0.619
0.109 0.191 0.324
```

Offset from the most stable computed form ... 288.0 meV/atom
ρ ... 3.73 Mg/m³
Final energy ... -23.65 eV/cell
E_form ... 40 kJ/mol of formula units

# 5
Computed, not measured: Na2TiGa after structural relaxation at the PBE level of DFT.

Geometry as POSCAR:
```
Na2TiGa
1.0
-5.495 -3.474 -5.480
-3.696 -4.226 6.385
-6.323 -1.741 0.849
Na Ga Ti
4 2 2
Direct
0.656 0.125 0.250
0.094 0.625 0.250
0.375 0.344 0.750
0.875 0.906 0.750
0.000 0.000 0.000
0.750 0.250 0.500
0.500 0.500 0.000
0.250 0.750 0.500
```

ρ ... 2.73 Mg/m³
Final energy ... -22.42 eV/cell
E_form ... 227 kJ/mol of formula units

# 6
Computed, not measured: NaTiGa after structural relaxation at the PBE level of DFT.

Geometry as POSCAR:
```
NaTiGa
1.0
-4.950 0.542 -0.918
-1.290 -2.731 5.349
0.099 6.972 3.583
Na Ga Ti
4 4 4
Direct
0.500 0.250 0.863
0.000 0.750 0.363
0.500 0.750 0.137
0.000 0.250 0.637
0.000 0.000 0.000
0.500 0.500 0.500
0.500 0.000 0.500
0.000 0.500 0.000
0.252 0.250 0.250
0.248 0.750 0.750
0.748 0.750 0.750
0.752 0.250 0.250
```

Offset from the most stable computed form ... 253.4 meV/atom
ρ ... 3.83 Mg/m³
Final energy ... -47.72 eV/cell
E_form ... 30 kJ/mol of formula units

# 7
Computed, not measured: NaTiGa after structural relaxation at the PBE level of DFT.

Geometry as POSCAR:
```
NaTiGa
1.0
2.091 -10.255 0.000
2.091 10.255 0.000
0.000 0.000 3.323
Na Ga Ti
2 2 2
Direct
0.684 0.316 0.250
0.316 0.684 0.750
0.448 0.552 0.250
0.552 0.448 0.750
0.052 0.948 0.250
0.948 0.052 0.750
```

Offset from the most stable computed form ... 82.4 meV/atom
ρ ... 3.28 Mg/m³
Final energy ... -24.88 eV/cell
E_form ... -19 kJ/mol of formula units

# 8
Computed, not measured: Na2YTiGa after structural relaxation at the PBE level of DFT.

Geometry as POSCAR:
```
Na2YTiGa
1.0
-2.978 -4.570 0.086
0.539 -0.251 5.341
-4.538 2.968 0.597
Y Na Ga Ti
1 2 1 1
Direct
0.000 0.500 0.000
0.000 0.000 0.500
0.500 0.000 0.000
0.500 0.500 0.500
0.000 0.000 0.000
```

ρ ... 2.62 Mg/m³
Final energy ... -14.88 eV/cell
E_form ... 497 kJ/mol of formula units

# 9
Computed, not measured: Na6Tl12Ga after structural relaxation at the PBE level of DFT.

Geometry as POSCAR:
```
Na6Tl12Ga
1.0
8.400 0.185 -2.737
-3.821 7.483 -2.737
0.111 0.185 8.834
Na Tl Ga
6 12 1
Direct
0.200 0.428 0.683
0.572 0.317 0.800
0.317 0.800 0.572
0.800 0.572 0.317
0.428 0.683 0.200
0.683 0.200 0.428
0.293 0.110 0.385
0.110 0.385 0.293
0.385 0.293 0.110
0.707 0.890 0.615
0.890 0.615 0.707
0.615 0.707 0.890
0.129 0.031 0.693
0.307 0.871 0.969
0.969 0.307 0.871
0.871 0.969 0.307
0.693 0.129 0.031
0.031 0.693 0.129
0.000 0.000 0.000
```

Offset from the most stable computed form ... 8.4 meV/atom
ρ ... 7.75 Mg/m³
Final energy ... -40.31 eV/cell
E_form ... -94 kJ/mol of formula units

# 10
Computed, not measured: NaTlGa after structural relaxation at the PBE level of DFT.

Geometry as POSCAR:
```
NaTlGa
1.0
-6.404 2.726 3.667
-1.866 -2.784 -1.190
6.726 -7.434 6.840
Na Tl Ga
4 4 4
Direct
0.743 0.000 0.243
0.743 0.500 0.743
0.551 0.000 0.935
0.551 0.500 0.435
0.117 0.000 0.899
0.117 0.500 0.399
0.936 0.000 0.573
0.936 0.500 0.073
0.267 0.000 0.224
0.267 0.500 0.724
0.389 0.000 0.602
0.389 0.500 0.102
```

Offset from the most stable computed form ... 24.6 meV/atom
ρ ... 6.34 Mg/m³
Final energy ... -27.43 eV/cell
E_form ... -14 kJ/mol of formula units

# 11
Computed, not measured: NaTlGa after structural relaxation at the PBE level of DFT.

Geometry as POSCAR:
```
NaTlGa
1.0
4.650 0.000 0.000
0.000 8.702 0.000
0.000 0.000 7.749
Na Tl Ga
4 4 4
Direct
0.250 0.183 0.027
0.750 0.817 0.027
0.750 0.683 0.527
0.250 0.317 0.527
0.250 0.617 0.223
0.750 0.383 0.223
0.750 0.117 0.723
0.250 0.883 0.723
0.250 0.568 0.844
0.750 0.432 0.844
0.750 0.068 0.344
0.250 0.932 0.344
```

Offset from the most stable computed form ... 0.0 meV/atom
ρ ... 6.29 Mg/m³
Final energy ... -27.73 eV/cell
E_form ... -21 kJ/mol of formula units

# 12
Computed, not measured: Na7Tl3Ga after structural relaxation at the PBE level of DFT.

Geometry as POSCAR:
```
Na7Tl3Ga
1.0
-2.727 -0.994 2.139
-6.748 -3.215 -13.137
4.400 -11.092 0.454
Na Tl Ga
14 6 2
Direct
0.362 0.723 0.750
0.638 0.277 0.250
0.470 0.940 0.384
0.530 0.060 0.616
0.530 0.060 0.884
0.470 0.940 0.116
0.359 0.718 0.446
0.641 0.282 0.554
0.227 0.455 0.391
0.773 0.545 0.609
0.773 0.545 0.891
0.227 0.455 0.109
0.359 0.718 0.054
0.641 0.282 0.946
0.065 0.130 0.389
0.935 0.870 0.611
0.198 0.395 0.750
0.802 0.605 0.250
0.065 0.130 0.111
0.935 0.870 0.889
0.900 0.799 0.250
0.100 0.201 0.750
```

Offset from the most stable computed form ... 0.0 meV/atom
ρ ... 4.34 Mg/m³
Final energy ... -39.64 eV/cell
E_form ... -44 kJ/mol of formula units

# 13
Computed, not measured: Na3TlGa8 after structural relaxation at the PBE level of DFT.

Geometry as POSCAR:
```
Na3TlGa8
1.0
5.685 0.000 0.000
2.843 4.923 0.000
2.843 1.641 9.218
Na Tl Ga
3 1 8
Direct
0.377 0.377 0.870
0.999 0.999 0.002
0.500 0.500 0.500
0.873 0.873 0.380
0.942 0.438 0.182
0.432 0.938 0.692
0.438 0.438 0.182
0.938 0.938 0.692
0.186 0.186 0.442
0.689 0.689 0.933
0.438 0.942 0.182
0.938 0.432 0.692
```

ρ ... 5.35 Mg/m³
Final energy ... -31.51 eV/cell
E_form ... -93 kJ/mol of formula units

# 14
Computed, not measured: Na4TlGa after structural relaxation at the PBE level of DFT.

Geometry as POSCAR:
```
Na4TlGa
1.0
-2.869 1.845 3.713
-2.650 -4.060 3.394
8.329 0.966 9.717
Na Tl Ga
8 2 2
Direct
0.215 0.000 0.599
0.655 0.690 0.000
0.477 0.317 0.735
0.523 0.683 0.265
0.205 0.317 0.265
0.795 0.683 0.735
0.785 0.000 0.401
0.345 0.310 0.000
0.068 0.000 0.871
0.932 0.000 0.129
0.765 0.471 0.500
0.235 0.529 0.500
```

ρ ... 3.59 Mg/m³
Final energy ... -21.93 eV/cell
E_form ... -28 kJ/mol of formula units

# 15
Computed, not measured: Na2Tl2Ga after structural relaxation at the PBE level of DFT.

Geometry as POSCAR:
```
Na2Tl2Ga
1.0
4.628 0.000 2.029
2.106 4.645 1.489
0.071 0.215 6.131
Na Tl Ga
2 2 1
Direct
0.205 0.192 0.398
0.795 0.808 0.602
0.609 0.595 0.188
0.391 0.405 0.812
0.000 0.000 0.000
```

Offset from the most stable computed form ... 0.0 meV/atom
ρ ... 6.67 Mg/m³
Final energy ... -10.68 eV/cell
E_form ... -27 kJ/mol of formula units

# 16
Computed, not measured: NaTl14Ga after structural relaxation at the PBE level of DFT.

Geometry as POSCAR:
```
NaTl14Ga
1.0
6.788 0.256 0.000
-2.425 6.345 0.000
0.000 0.000 10.962
Na Tl Ga
1 14 1
Direct
0.121 0.879 0.500
0.120 0.880 0.000
0.623 0.377 0.000
0.095 0.371 0.500
0.126 0.385 0.000
0.629 0.905 0.500
0.615 0.874 0.000
0.407 0.141 0.736
0.407 0.141 0.264
0.859 0.593 0.736
0.859 0.593 0.264
0.372 0.628 0.742
0.372 0.628 0.258
0.898 0.102 0.755
0.898 0.102 0.245
0.598 0.402 0.500
```

ρ ... 10.24 Mg/m³
Final energy ... -37.51 eV/cell
E_form ... -4 kJ/mol of formula units

# 17
Computed, not measured: NaTlGa after structural relaxation at the PBE level of DFT.

Geometry as POSCAR:
```
NaTlGa
1.0
-0.337 -2.349 -3.317
2.087 -4.027 2.639
-5.578 -4.017 3.400
Na Tl Ga
2 2 2
Direct
0.933 0.759 0.811
0.931 0.406 0.509
0.432 0.571 0.171
0.432 0.223 0.886
0.932 0.038 0.194
0.431 0.950 0.433
```

Offset from the most stable computed form ... 28.2 meV/atom
ρ ... 6.38 Mg/m³
Final energy ... -13.69 eV/cell
E_form ... -13 kJ/mol of formula units

# 18
Computed, not measured: Na3Tl5Ga after structural relaxation at the PBE level of DFT.

Geometry as POSCAR:
```
Na3Tl5Ga
1.0
-5.967 4.711 -4.875
-5.178 -7.359 -0.772
2.427 2.967 8.262
Na Tl Ga
6 10 2
Direct
0.618 0.118 0.000
0.382 0.882 0.000
0.882 0.618 0.000
0.118 0.382 0.000
0.250 0.250 0.500
0.750 0.750 0.500
0.052 0.552 0.721
0.669 0.169 0.721
0.169 0.052 0.721
0.552 0.669 0.721
0.948 0.448 0.279
0.331 0.831 0.279
0.831 0.948 0.279
0.448 0.331 0.279
0.500 0.500 0.000
0.000 0.000 0.000
0.750 0.250 0.500
0.250 0.750 0.500
```

ρ ... 7.28 Mg/m³
Final energy ... -37.50 eV/cell
E_form ... 6 kJ/mol of formula units

# 19
Computed, not measured: NaTl3Ga after structural relaxation at the PBE level of DFT.

Geometry as POSCAR:
```
NaTl3Ga
1.0
-1.327 4.755 2.641
-1.661 -2.943 4.464
5.180 0.275 2.108
Na Tl Ga
1 3 1
Direct
0.500 0.500 0.500
0.000 0.500 0.000
0.000 0.000 0.500
0.500 0.000 0.000
0.000 0.000 0.000
```

Offset from the most stable computed form ... 149.8 meV/atom
ρ ... 6.68 Mg/m³
Final energy ... -10.80 eV/cell
E_form ... 62 kJ/mol of formula units

# 20
Computed, not measured: Na6Tl12Ga after structural relaxation at the PBE level of DFT.

Geometry as POSCAR:
```
Na6Tl12Ga
1.0
-3.338 -0.938 7.443
7.537 -1.580 2.849
0.946 8.081 1.109
Na Tl Ga
6 12 1
Direct
0.721 0.886 0.262
0.738 0.279 0.114
0.114 0.738 0.279
0.279 0.114 0.738
0.262 0.721 0.886
0.886 0.262 0.721
0.793 0.535 0.455
0.455 0.793 0.535
0.535 0.455 0.793
0.207 0.465 0.545
0.545 0.207 0.465
0.465 0.545 0.207
0.037 0.144 0.365
0.856 0.635 0.963
0.635 0.963 0.856
0.963 0.856 0.635
0.144 0.365 0.037
0.365 0.037 0.144
0.000 0.000 0.000
```

Offset from the most stable computed form ... 0.0 meV/atom
ρ ... 8.00 Mg/m³
Final energy ... -40.47 eV/cell
E_form ... -110 kJ/mol of formula units